Entry from Alexandria: a geometry-optimized YCo2Ir structure (PBE).

Cell: 3.744 2.846 6.513 Å, 64.15 90.00 90.00°
Site moments in Bohr magnetons follow the coordinates.
Positions (direct):
Y 0.500 0.750 0.750  -0.18
Co 0.000 0.947 0.052  1.24
Co 0.000 0.553 0.448  1.24
Ir 0.500 0.250 0.250  0.33

The final energy is -7.33 eV/atom. The value obtained for the density is 10.61 g cm⁻³. The space group is Pmmm (47). The calculated formation energy comes out at 59 meV per atom.